A plane-wave DFT calculation with PBE was carried out for a relaxed structure of HgTeOs2.

Cell and atoms, written as CIF:
```
data_HgTeOs2
_chemical_formula_sum 'Hg2 Te2 Os4'
_cell_length_a 2.986
_cell_length_b 4.641
_cell_length_c 11.269
_cell_angle_alpha 90.00
_cell_angle_beta 90.00
_cell_angle_gamma 90.00
_space_group_name_H-M_alt 'I m m 2'
_space_group_IT_number 44
loop_
_space_group_symop_operation_xyz
'x,y,z'
'-x,-y,z'
'-x,y,z'
'x,-y,z'
'x+1/2,y+1/2,z+1/2'
'-x+1/2,-y+1/2,z+1/2'
'-x+1/2,y+1/2,z+1/2'
'x+1/2,-y+1/2,z+1/2'
loop_
_atom_site_label
_atom_site_fract_x
_atom_site_fract_y
_atom_site_fract_z
Hg1 0.000 0.000 0.000
Te1 0.000 0.500 0.216
Os1 0.000 0.000 0.496
Os2 0.000 0.500 0.809
```

total magnetic moment	0.00	μB/f.u.
ΔE_f (raw)	914	meV per atom
ρ	15.1	g/cm3
DOS(E_F)	1.110	states/eV/atom
V	156.2	Å³/cell

=====

A plane-wave DFT calculation with PBE was carried out for a relaxed structure of Hg2TeOs.

Cell and atoms, written as CIF:
```
data_Hg2TeOs
_chemical_formula_sum 'Hg4 Te2 Os2'
_cell_length_a 9.931
_cell_length_b 3.232
_cell_length_c 6.683
_cell_angle_alpha 90.00
_cell_angle_beta 106.24
_cell_angle_gamma 90.00
_space_group_name_H-M_alt 'C 1 m 1'
_space_group_IT_number 8
loop_
_space_group_symop_operation_xyz
'x,y,z'
'x,-y,z'
'x+1/2,y+1/2,z'
'x+1/2,-y+1/2,z'
loop_
_atom_site_label
_atom_site_fract_x
_atom_site_fract_y
_atom_site_fract_z
Hg1 0.000 0.000 0.000
Hg2 0.208 0.000 0.710
Te1 0.350 0.000 0.380
Os1 0.244 0.500 0.074
```

total magnetic moment	0.17	μB/f.u.
ΔE_f (raw)	456	meV per atom
ρ	11.6	g/cm3
DOS(E_F)	1.078	states/eV/atom
V	205.9	Å³/cell

=====

A plane-wave DFT calculation with PBE was carried out for a relaxed structure of HgTeOs.

Cell and atoms, written as CIF:
```
data_HgTeOs
_chemical_formula_sum 'Hg1 Te1 Os1'
_cell_length_a 3.5915
_cell_length_b 3.5915
_cell_length_c 6.5201
_cell_angle_alpha 90.00
_cell_angle_beta 90.00
_cell_angle_gamma 120.00
_space_group_name_H-M_alt 'P 3 m 1'
_space_group_IT_number 156
loop_
_space_group_symop_operation_xyz
'x,y,z'
'-y,x-y,z'
'-x+y,-x,z'
'-y,-x,z'
'-x+y,y,z'
'x,x-y,z'
loop_
_atom_site_label
_atom_site_fract_x
_atom_site_fract_y
_atom_site_fract_z
Hg1 0.0000 0.0000 0.0000
Te1 0.6667 0.3333 0.5341
Os1 0.3333 0.6667 0.3025
```

total magnetic moment	0.00	μB/f.u.
ΔE_f (raw)	519	meV per atom
ρ	11.8	g/cm3
DOS(E_F)	0.150	states/eV/atom
V	72.8	Å³/cell

=====

A plane-wave DFT calculation with PBE was carried out for a relaxed structure of Hg2TeOs.

Cell and atoms, written as CIF:
```
data_Hg2TeOs
_chemical_formula_sum 'Hg4 Te2 Os2'
_cell_length_a 2.993
_cell_length_b 5.244
_cell_length_c 11.705
_cell_angle_alpha 90.00
_cell_angle_beta 90.00
_cell_angle_gamma 90.00
_space_group_name_H-M_alt 'C m m m'
_space_group_IT_number 65
_space_group_name_Hall '-C 2 2'
loop_
_atom_site_label
_atom_site_fract_x
_atom_site_fract_y
_atom_site_fract_z
Hg1 0.000 0.000 0.208
Te1 0.000 0.500 0.500
Os1 0.000 0.500 0.000
```

total magnetic moment	0.76	μB/f.u.
ΔE_f (raw)	839	meV per atom
ρ	13.0	g/cm3
DOS(E_F)	0.679	states/eV/atom
V	183.7	Å³/cell